Entry 1:
! BaCa3As, optimized geometry, DFT GGA-PBE; values from VASP
! Space-group type: No. 221
! DFT formation energy: 1.088 eV per atom
! Offset from the most stable computed form: 1.537 eV per atom
&SYSTEM
  ibrav = 0, nat = 5, ntyp = 3
/
ATOMIC_SPECIES
Ca 40.08 Ca.upf
As 74.92 As.upf
Ba 137.33 Ba.upf
ATOMIC_POSITIONS crystal
Ca 0.000 0.500 0.000
Ca 0.000 0.000 0.500
Ca 0.500 0.000 0.000
As 0.500 0.500 0.500
Ba 0.000 0.000 0.000
CELL_PARAMETERS angstrom
-4.402 -3.721 0.389
1.862 -2.700 -4.755
3.245 -3.498 3.257

=====

Entry 2:
! Ba2CaCdAs, optimized geometry, DFT GGA-PBE; values from VASP
! Space-group type: No. 123
! DFT formation energy: -0.498 eV per atom
&SYSTEM
  ibrav = 0, nat = 5, ntyp = 4
/
ATOMIC_SPECIES
Cd 112.41 Cd.upf
Ca 40.08 Ca.upf
Ba 137.33 Ba.upf
As 74.92 As.upf
ATOMIC_POSITIONS crystal
Cd 0.500 0.500 0.500
Ca 0.000 0.000 0.500
Ba 0.000 0.500 0.000
As 0.000 0.000 0.000
Ba 0.500 0.000 0.000
CELL_PARAMETERS angstrom
-0.887 5.400 -3.349
-5.430 -2.401 -2.433
-2.871 2.173 4.264

=====

Short version: final energy = -1.43; -2.78 eV/atom, in the order given.